! Na4Pr2Br9 PBE optimized geometry; values from VASP
&SYSTEM
  ibrav = 0, nat = 30, ntyp = 3
/
ATOMIC_SPECIES
Na 22.99 Na.upf
Pr 140.91 Pr.upf
Br 79.90 Br.upf
CELL_PARAMETERS angstrom
7.6018 0.0000 0.0000
3.7951 6.5895 0.0000
0.0097 0.0171 20.0835
ATOMIC_POSITIONS crystal
Na 0.1651 0.1671 0.1743
Na 0.1661 0.1661 0.9843
Na 0.1672 0.1665 0.4833
Na 0.1682 0.1656 0.6753
Na 0.8318 0.8344 0.3247
Na 0.8328 0.8335 0.5167
Na 0.8339 0.8339 0.0157
Na 0.8349 0.8329 0.8257
Pr 0.4990 0.5018 0.1582
Pr 0.4998 0.4989 0.3419
Pr 0.5002 0.5011 0.6581
Pr 0.5010 0.4982 0.8418
Br 0.1497 0.5254 0.4147
Br 0.1514 0.8237 0.9141
Br 0.1743 0.4772 0.0855
Br 0.1753 0.8510 0.5857
Br 0.1832 0.4998 0.7499
Br 0.1828 0.8176 0.2503
Br 0.4743 0.8506 0.0849
Br 0.4745 0.1771 0.5853
Br 0.4981 0.1837 0.2497
Br 0.5019 0.8163 0.7503
Br 0.5255 0.8229 0.4147
Br 0.5257 0.1494 0.9151
Br 0.8172 0.1824 0.7497
Br 0.8168 0.5002 0.2501
Br 0.8247 0.1490 0.4143
Br 0.8257 0.5228 0.9145
Br 0.8486 0.1763 0.0859
Br 0.8503 0.4746 0.5853
! Symmetry: P-1
! E_form (uncorrected) (eV/f.u.): -25.12

! Na2Pr2Br7 PBE optimized geometry; values from VASP
&SYSTEM
  ibrav = 0, nat = 11, ntyp = 3
/
ATOMIC_SPECIES
Na 22.99 Na.upf
Pr 140.91 Pr.upf
Br 79.90 Br.upf
CELL_PARAMETERS angstrom
6.2687 -4.2975 0.0000
6.2687 4.2975 0.0000
-0.4452 0.0000 7.4985
ATOMIC_POSITIONS crystal
Na 0.2079 0.7921 0.0000
Na 0.7921 0.2079 0.0000
Pr 0.2571 0.2571 0.5202
Pr 0.7429 0.7429 0.4798
Br 0.0364 0.5768 0.7661
Br 0.0700 0.0700 0.7307
Br 0.4232 0.9636 0.2339
Br 0.5000 0.5000 0.5000
Br 0.5768 0.0364 0.7661
Br 0.9300 0.9300 0.2693
Br 0.9636 0.4232 0.2339
! Symmetry: C2/m
! E_form (uncorrected) (eV/f.u.): -17.49

! RbNa2PrBr6 PBE optimized geometry; values from VASP
&SYSTEM
  ibrav = 0, nat = 10, ntyp = 4
/
ATOMIC_SPECIES
Rb 85.47 Rb.upf
Na 22.99 Na.upf
Pr 140.91 Pr.upf
Br 79.90 Br.upf
CELL_PARAMETERS angstrom
3.8722 2.2356 7.0740
-3.8722 2.2356 7.0740
0.0000 -4.4712 7.0740
ATOMIC_POSITIONS crystal
Rb 0.0000 0.0000 0.0000
Na 0.2844 0.2844 0.2844
Na 0.7980 0.7980 0.7980
Pr 0.4799 0.4799 0.4799
Br 0.0745 0.6341 0.4546
Br 0.2124 0.5556 0.8739
Br 0.4546 0.0745 0.6341
Br 0.5556 0.8739 0.2124
Br 0.6341 0.4546 0.0745
Br 0.8739 0.2124 0.5556
! Symmetry: R3
! E_form (uncorrected) (eV/f.u.): -17.29

! Rb2NaPrBr6 PBE optimized geometry; values from VASP
&SYSTEM
  ibrav = 0, nat = 10, ntyp = 4
/
ATOMIC_SPECIES
Rb 85.47 Rb.upf
Na 22.99 Na.upf
Pr 140.91 Pr.upf
Br 79.90 Br.upf
CELL_PARAMETERS angstrom
0.0000 5.8106 5.8106
5.8106 0.0000 5.8106
5.8106 5.8106 0.0000
ATOMIC_POSITIONS crystal
Rb 0.2500 0.2500 0.2500
Rb 0.7500 0.7500 0.7500
Na 0.0000 0.0000 0.0000
Pr 0.5000 0.5000 0.5000
Br 0.2506 0.2506 0.7494
Br 0.2506 0.7494 0.2506
Br 0.2506 0.7494 0.7494
Br 0.7494 0.2506 0.2506
Br 0.7494 0.2506 0.7494
Br 0.7494 0.7494 0.2506
! Symmetry: Fm-3m
! E_form (uncorrected) (eV/f.u.): -17.65

! Rb2NaPrBr6 PBE optimized geometry; values from VASP
&SYSTEM
  ibrav = 0, nat = 20, ntyp = 4
/
ATOMIC_SPECIES
Rb 85.47 Rb.upf
Na 22.99 Na.upf
Pr 140.91 Pr.upf
Br 79.90 Br.upf
CELL_PARAMETERS angstrom
7.9765 0.0000 0.0000
0.0000 8.3384 0.0000
-7.8310 0.0000 11.4088
ATOMIC_POSITIONS crystal
Rb 0.2257 0.0677 0.2477
Rb 0.2257 0.4323 0.7477
Rb 0.7743 0.5677 0.2523
Rb 0.7743 0.9323 0.7523
Na 0.0000 0.0000 0.5000
Na 0.0000 0.5000 0.0000
Pr 0.5000 0.0000 0.0000
Pr 0.5000 0.5000 0.5000
Br 0.1587 0.1979 0.9541
Br 0.1587 0.3021 0.4541
Br 0.2583 0.7093 0.9530
Br 0.2583 0.7907 0.4530
Br 0.3445 0.0229 0.7521
Br 0.3445 0.4771 0.2521
Br 0.6555 0.5229 0.7479
Br 0.6555 0.9771 0.2479
Br 0.7417 0.2093 0.5470
Br 0.7417 0.2907 0.0470
Br 0.8413 0.6979 0.5459
Br 0.8413 0.8021 0.0459
! Symmetry: P2_1/c
! E_form (uncorrected) (eV/f.u.): -17.94

! RbNaPr2Br8 PBE optimized geometry; values from VASP
&SYSTEM
  ibrav = 0, nat = 12, ntyp = 4
/
ATOMIC_SPECIES
Rb 85.47 Rb.upf
Na 22.99 Na.upf
Pr 140.91 Pr.upf
Br 79.90 Br.upf
CELL_PARAMETERS angstrom
7.2228 0.0000 0.0000
0.0000 9.1104 0.0000
-0.6253 0.0000 7.4597
ATOMIC_POSITIONS crystal
Rb 0.0000 0.0000 0.0000
Na 0.0000 0.5000 0.0000
Pr 0.5000 0.2556 0.5000
Pr 0.5000 0.7444 0.5000
Br 0.2470 0.2769 0.1844
Br 0.2470 0.7231 0.1844
Br 0.2877 0.5000 0.6524
Br 0.2924 0.0000 0.6379
Br 0.7076 0.0000 0.3621
Br 0.7123 0.5000 0.3476
Br 0.7530 0.2769 0.8156
Br 0.7530 0.7231 0.8156
! Symmetry: P2/m
! E_form (uncorrected) (eV/f.u.): -21.34

! NaPrSn2Br8 PBE optimized geometry; values from VASP
&SYSTEM
  ibrav = 0, nat = 12, ntyp = 4
/
ATOMIC_SPECIES
Na 22.99 Na.upf
Pr 140.91 Pr.upf
Sn 118.71 Sn.upf
Br 79.90 Br.upf
CELL_PARAMETERS angstrom
6.8456 0.0000 0.0000
0.0000 8.8745 0.0000
-0.1497 0.0000 7.2155
ATOMIC_POSITIONS crystal
Na 0.0000 0.0000 0.0000
Pr 0.0000 0.5000 0.0000
Sn 0.5000 0.2410 0.5000
Sn 0.5000 0.7590 0.5000
Br 0.2377 0.2540 0.1571
Br 0.2377 0.7460 0.1571
Br 0.2455 0.5000 0.6704
Br 0.2700 0.0000 0.6540
Br 0.7300 0.0000 0.3460
Br 0.7545 0.5000 0.3296
Br 0.7623 0.2540 0.8429
Br 0.7623 0.7460 0.8429
! Symmetry: P2/m
! E_form (uncorrected) (eV/f.u.): -15.01

! NaSrPrBr6 PBE optimized geometry; values from VASP
&SYSTEM
  ibrav = 0, nat = 18, ntyp = 4
/
ATOMIC_SPECIES
Na 22.99 Na.upf
Sr 87.62 Sr.upf
Pr 140.91 Pr.upf
Br 79.90 Br.upf
CELL_PARAMETERS angstrom
7.6753 0.0000 0.0000
-3.8376 6.6470 0.0000
0.0000 0.0000 13.2325
ATOMIC_POSITIONS crystal
Na 0.0000 0.0000 0.0000
Na 0.0000 0.0000 0.5000
Sr 0.3333 0.6667 0.2500
Sr 0.6667 0.3333 0.7500
Pr 0.3333 0.6667 0.7500
Pr 0.6667 0.3333 0.2500
Br 0.0139 0.3516 0.6262
Br 0.0139 0.6623 0.8738
Br 0.3377 0.3516 0.8738
Br 0.3377 0.9861 0.6262
Br 0.3516 0.0139 0.1262
Br 0.3516 0.3377 0.3738
Br 0.6484 0.6623 0.6262
Br 0.6484 0.9861 0.8738
Br 0.6623 0.0139 0.3738
Br 0.6623 0.6484 0.1262
Br 0.9861 0.3377 0.1262
Br 0.9861 0.6484 0.3738
! Symmetry: P-31c
! E_form (uncorrected) (eV/f.u.): -16.87

! NaPrTl2Br6 PBE optimized geometry; values from VASP
&SYSTEM
  ibrav = 0, nat = 10, ntyp = 4
/
ATOMIC_SPECIES
Na 22.99 Na.upf
Pr 140.91 Pr.upf
Tl 204.38 Tl.upf
Br 79.90 Br.upf
CELL_PARAMETERS angstrom
4.0203 2.3211 6.7629
-4.0203 2.3211 6.7629
0.0000 -4.6422 6.7629
ATOMIC_POSITIONS crystal
Na 0.0000 0.0000 0.0000
Pr 0.4957 0.4957 0.4957
Tl 0.2826 0.2826 0.2826
Tl 0.7870 0.7870 0.7870
Br 0.1508 0.7174 0.3490
Br 0.2336 0.6496 0.8327
Br 0.3490 0.1508 0.7174
Br 0.6496 0.8327 0.2336
Br 0.7174 0.3490 0.1508
Br 0.8327 0.2336 0.6496
! Symmetry: R3
! E_form (uncorrected) (eV/f.u.): -14.14

! NaPtBr PBE optimized geometry; values from VASP
&SYSTEM
  ibrav = 0, nat = 3, ntyp = 3
/
ATOMIC_SPECIES
Na 22.99 Na.upf
Pt 195.08 Pt.upf
Br 79.90 Br.upf
CELL_PARAMETERS angstrom
4.4252 0.0000 0.0000
-2.2126 3.8323 0.0000
0.0000 0.0000 4.0468
ATOMIC_POSITIONS crystal
Na 0.0000 0.0000 0.0000
Pt 0.6667 0.3333 0.5000
Br 0.3333 0.6667 0.5000
! Symmetry: P-6m2
! E_form (uncorrected) (eV/f.u.): -0.61

! NaPtBr3 PBE optimized geometry; values from VASP
&SYSTEM
  ibrav = 0, nat = 5, ntyp = 3
/
ATOMIC_SPECIES
Na 22.99 Na.upf
Pt 195.08 Pt.upf
Br 79.90 Br.upf
CELL_PARAMETERS angstrom
5.2162 0.0000 0.0000
0.0000 5.2162 0.0000
0.0000 0.0000 5.2162
ATOMIC_POSITIONS crystal
Na 0.0000 0.0000 0.0000
Pt 0.5000 0.5000 0.5000
Br 0.0000 0.5000 0.5000
Br 0.5000 0.0000 0.5000
Br 0.5000 0.5000 0.0000
! Symmetry: Pm-3m
! E_form (uncorrected) (eV/f.u.): -2.83

! NaPtBr5 PBE optimized geometry; values from VASP
&SYSTEM
  ibrav = 0, nat = 14, ntyp = 3
/
ATOMIC_SPECIES
Na 22.99 Na.upf
Pt 195.08 Pt.upf
Br 79.90 Br.upf
CELL_PARAMETERS angstrom
3.8231 -6.9632 0.0000
3.8231 6.9632 0.0000
-2.1800 0.0000 8.8299
ATOMIC_POSITIONS crystal
Na 0.0606 0.9394 0.7500
Na 0.9394 0.0606 0.2500
Pt 0.5000 0.5000 0.0000
Pt 0.5000 0.5000 0.5000
Br 0.1200 0.2760 0.9759
Br 0.1959 0.5048 0.3991
Br 0.2760 0.1200 0.4759
Br 0.4203 0.5797 0.7500
Br 0.4952 0.8041 0.1009
Br 0.5048 0.1959 0.8991
Br 0.5797 0.4203 0.2500
Br 0.7240 0.8800 0.5241
Br 0.8041 0.4952 0.6009
Br 0.8800 0.7240 0.0241
! Symmetry: C2/c
! E_form (uncorrected) (eV/f.u.): -4.11

| no. | calculated total energy (eV/atom) | theoretical density (g/cm³) |
| --- | --- | --- |
| 1 | -3.6675 | 3.6 |
| 2 | -3.7630 | 3.6 |
| 3 | -3.5713 | 3.4 |
| 4 | -3.5721 | 3.4 |
| 5 | -3.6012 | 3.6 |
| 6 | -3.8810 | 3.5 |
| 7 | -3.5416 | 3.9 |
| 8 | -3.8545 | 3.6 |
| 9 | -3.5013 | 4.6 |
| 10 | -3.2130 | 7.2 |
| 11 | -3.0424 | 5.4 |
| 12 | -2.8337 | 4.4 |